Entry 1:
# UCo3Ge5 (PBE-GGA, optimized geometry)
data_UCo3Ge5
_chemical_formula_sum 'U4 Co12 Ge20'
_space_group_name_H-M_alt 'C 1 2/m 1'
_space_group_IT_number 12
_cell_length_a 10.9750
_cell_length_b 7.8095
_cell_length_c 8.3684
_cell_angle_alpha 90.00
_cell_angle_beta 118.04
_cell_angle_gamma 90.00
loop_
_space_group_symop_operation_xyz
'x,y,z'
'-x,-y,-z'
'-x,y,-z'
'x,-y,z'
'x+1/2,y+1/2,z'
'-x+1/2,-y+1/2,-z'
'-x+1/2,y+1/2,-z'
'x+1/2,-y+1/2,z'
loop_
_atom_site_label
_atom_site_fract_x
_atom_site_fract_y
_atom_site_fract_z
U1 0.1225 0.0000 0.3290
Co1 0.0000 0.0000 0.0000
Co2 0.0000 0.0000 0.5000
Co3 0.1707 0.5000 0.1858
Co4 0.1707 0.5000 0.6793
Ge1 0.0000 0.3023 0.0000
Ge2 0.0668 0.5000 0.3628
Ge3 0.1475 0.2103 0.7013
Ge4 0.2180 0.0000 0.9986
# Energy of formation ... -0.054 eV/atom
# Spin magnetization ... 0.9 μB per formula unit
# ρ ... 8163 kg/m3

***

Entry 2:
# K4Sm3CrSe8 (PBE-GGA, optimized geometry)
data_K4Sm3CrSe8
_chemical_formula_sum 'K12 Sm9 Cr3 Se24'
_space_group_name_H-M_alt 'R -3 m'
_space_group_IT_number 166
_space_group_name_Hall '-R 3 2"'
_cell_length_a 8.3865
_cell_length_b 8.3865
_cell_length_c 23.0527
_cell_angle_alpha 90.00
_cell_angle_beta 90.00
_cell_angle_gamma 120.00
loop_
_atom_site_label
_atom_site_fract_x
_atom_site_fract_y
_atom_site_fract_z
K1 0.0000 0.0000 0.0000
K2 0.0000 0.5000 0.0000
Sm1 0.0000 0.5000 0.5000
Cr1 0.0000 0.0000 0.5000
Se1 0.0000 0.0000 0.2375
Se2 0.0260 0.5130 0.2327
# Spin magnetization ... 3.0 μB per formula unit
# ΔE_f (raw) ... -1.4728 eV per atom
# ρ ... 4581 kg/m3